No. 1
Here is GaClF2 after structural relaxation from Alexandria via LeMat-Bulk. Energies are from GGA-PBEsol.

- crystal system = tetragonal
- raw formation energy (eV/atom) = -1.502

Lattice parameters (Å, degrees): 5.8449 5.9209 5.8449 60.42 90.00 119.58
Last column: nearest neighbours and their distance in Å.
Sites, in units of the cell vectors:
F: 0.3750 0.2500 0.8750  2 Ga 1.81
F: 0.8750 0.2500 0.8750  2 Ga 1.81
F: 0.8750 0.7500 0.3750  2 Ga 1.81
F: 0.8750 0.7500 0.8750  2 Ga 1.81
Ga: 0.0000 0.0000 0.0000  4 F 1.81
Ga: 0.7500 0.5000 0.7500  4 F 1.81
Cl: 0.5000 0.0000 0.5000  12 F 3.44-3.50, 4 Ga 3.61, 4 Cl 3.61
Cl: 0.2500 0.5000 0.2500  12 F 3.44-3.50, 4 Cl 3.61, 4 Ga 3.61

No. 2
Here is ScCo3Re after structural relaxation from Alexandria via LeMat-Bulk. Energies are from GGA-PBEsol.

- crystal system = cubic
- ΔE_f (meV/atom) = 934.4

Lattice parameters (Å, degrees): 4.3701 4.3701 4.3701 90.00 90.00 90.00
Last column: nearest neighbours and their distance in Å.
Sites, in units of the cell vectors:
Sc: 0.5000 0.5000 0.5000  12 Co 3.09
Re: 0.0000 0.0000 0.0000  6 Co 2.19
Co: 0.0000 0.5000 0.0000  2 Re 2.19
Co: 0.0000 0.0000 0.5000  2 Re 2.19
Co: 0.5000 0.0000 0.0000  2 Re 2.19

No. 3
Here is CaRh2Pb after structural relaxation from Alexandria via LeMat-Bulk. Energies are from GGA-PBEsol.

- crystal system = tetragonal
- ΔE_f (meV/atom) = -280.8

Lattice parameters (Å, degrees): 3.5720 4.4535 4.4535 90.00 90.00 90.00
Last column: nearest neighbours and their distance in Å.
Sites, in units of the cell vectors:
Pb: 0.5000 0.5000 0.5000  8 Rh 2.85, 4 Ca 3.15
Ca: 0.5000 0.0000 0.0000  8 Rh 2.85, 4 Pb 3.15
Rh: 0.0000 0.0000 0.5000  4 Pb 2.85, 4 Ca 2.85, 4 Rh 3.15
Rh: 0.0000 0.5000 0.0000  4 Pb 2.85, 4 Ca 2.85, 4 Rh 3.15

No. 4
Here is LiVIr2 after structural relaxation from Alexandria via LeMat-Bulk. Energies are from GGA-PBEsol.

- crystal system = cubic
- ΔE_f (meV/atom) = -464.2

Lattice parameters (Å, degrees): 4.1424 4.1424 4.1424 60.00 60.00 60.00
Last column: nearest neighbours and their distance in Å.
Sites, in units of the cell vectors:
V: 0.0000 0.0000 0.0000  8 Ir 2.54
Ir: 0.2500 0.2500 0.2500  4 Li 2.54, 4 V 2.54
Ir: 0.7500 0.7500 0.7500  4 Li 2.54, 4 V 2.54
Li: 0.5000 0.5000 0.5000  8 Ir 2.54

| no. | magnetic moment (Bohr magnetons per cell) |
| --- | --- |
| 1 | 0.18 |
| 2 | 0.01 |
| 3 | 0.00 |
| 4 | 0.00 |